CeCrF6: relaxed, PBE with a Hubbard U.

Unit cell a=5.341 b=5.341 c=5.111 alpha=90.00 beta=90.00 gamma=120.00
Element x y z (fractional)
Ce (0.000, 0.000, 0.000)
Cr (0.667, 0.333, 0.500)
F (0.366, 0.044, 0.728)
F (0.366, 0.322, 0.272)
F (0.678, 0.044, 0.272)
F (0.678, 0.634, 0.728)
F (0.956, 0.322, 0.728)
F (0.956, 0.634, 0.272)

Energy = -6.4139 eV per atom
Space group = P312
Density = 4.03 Mg/m³